# Pa3Tl2MoO12

A geometry-optimized Pa3Tl2MoO12 structure (PBE+U, Alexandria via LeMat-Bulk).

Calculated values
**Crystal system**: trigonal
**Calculated density**: 6.552 g cm⁻³
**VASP energy**: -8.04 eV/atom
**Space-group type**: No. 166

```
Pa3Tl2MoO12
1.0
7.8520 -0.0603 -0.0428
3.8253 6.8575 -0.0428
3.8253 2.2267 6.4861
O Tl Mo Pa
12 2 1 3
Direct
0.7127 0.0564 0.0564
0.9436 0.2873 0.9436
0.6769 0.0735 0.6769
0.0735 0.6769 0.6769
0.9265 0.3231 0.3231
0.3231 0.9265 0.3231
0.3231 0.3231 0.9265
0.0564 0.0564 0.7127
0.2873 0.9436 0.9436
0.6769 0.6769 0.0735
0.9436 0.9436 0.2873
0.0564 0.7127 0.0564
0.5976 0.5976 0.5976
0.4024 0.4024 0.4024
0.0000 0.0000 0.0000
0.0000 0.0000 0.5000
0.5000 0.0000 0.0000
0.0000 0.5000 0.0000
```